Entry 1:
A plane-wave DFT calculation with PBE-GGA was carried out for a relaxed structure of BaCuSb.

a b c (Å): 5.501 5.501 13.682
angles (deg): 90.00 90.00 120.00
Atoms (fractional coordinates):
Ba  0.000  0.000  0.250
Ba  0.000  0.000  0.750
Cu  0.333  0.667  0.250
Cu  0.667  0.333  0.750
Sb  0.000  0.000  0.000
Sb  0.000  0.000  0.500

Raw total energy in eV/atom: -2.557
N(E_F) in states/eV/f.u.: 2.69
E_form (uncorrected) in eV per atom: 0.823
Calculated volume in Å³/atom: 59.7


Entry 2:
A plane-wave DFT calculation with PBE-GGA was carried out for a relaxed structure of BaCuSb.

a b c (Å): 7.980 4.608 10.297
angles (deg): 90.00 104.90 90.00
Atoms (fractional coordinates):
Ba  0.000  0.000  0.000
Ba  0.161  0.000  0.486
Ba  0.500  0.500  0.000
Ba  0.661  0.500  0.486
Cu  0.245  0.500  0.236
Cu  0.396  0.500  0.695
Cu  0.745  0.000  0.236
Cu  0.896  0.000  0.695
Sb  0.075  0.500  0.731
Sb  0.412  0.000  0.236
Sb  0.575  0.000  0.731
Sb  0.912  0.500  0.236

Raw total energy in eV/atom: -4.011
N(E_F) in states/eV/f.u.: 0.46
E_form (uncorrected) in eV per atom: -0.631
Calculated volume in Å³/atom: 30.5


Entry 3:
A plane-wave DFT calculation with PBE-GGA was carried out for a relaxed structure of BaCuSb.

a b c (Å): 3.833 3.833 11.773
angles (deg): 90.00 90.00 90.00
Atoms (fractional coordinates):
Ba  0.000  0.000  0.000
Ba  0.500  0.500  0.500
Cu  0.000  0.000  0.283
Cu  0.500  0.500  0.783
Sb  0.000  0.000  0.714
Sb  0.500  0.500  0.214

Raw total energy in eV/atom: -3.563
N(E_F) in states/eV/f.u.: 3.22
E_form (uncorrected) in eV per atom: -0.182
Calculated volume in Å³/atom: 28.8


Entry 4:
A plane-wave DFT calculation with PBE-GGA was carried out for a relaxed structure of Ba2CuSb.

a b c (Å): 4.950 4.950 6.925
angles (deg): 90.00 90.00 90.00
Atoms (fractional coordinates):
Ba  0.000  0.000  0.000
Ba  0.500  0.500  0.499
Cu  0.000  0.000  0.502
Sb  0.500  0.500  0.999

Raw total energy in eV/atom: -3.420
N(E_F) in states/eV/f.u.: 1.59
E_form (uncorrected) in eV per atom: -0.404
Calculated volume in Å³/atom: 42.4